Record 1
Entry from Alexandria via LeMat-Bulk: a PBEsol-optimized structure of Co3TeH (meta-GGA SCAN).

Unit cell a=4.6906 b=4.6906 c=4.6906 alpha=90.00 beta=90.00 gamma=90.00
Last column: nearest neighbours and their distance in Å.
Positions (direct):
Co 0.0000 0.0000 0.5000  2 Te 2.35
Co 0.0000 0.5000 0.0000  2 Te 2.35
Co 0.5000 0.0000 0.0000  2 Te 2.35
Te 0.0000 0.0000 0.0000  6 Co 2.35
H 0.5000 0.5000 0.5000  12 Co 3.32

Computed properties:
D(E_F): 0.50 states/eV per atom
V: 20.64 Å³ per atom
crystal system: cubic
excess energy over the best structure of this formula in the dataset: 1301 meV per atom

Record 2
Entry from Alexandria via LeMat-Bulk: a PBEsol-optimized structure of ErMn6Al6 (meta-GGA SCAN).

Unit cell a=6.4655 b=6.4655 c=6.4655 alpha=135.79 beta=98.81 gamma=97.46
Last column: nearest neighbours and their distance in Å.
Positions (direct):
Er 0.0000 0.0000 0.0000  8 Al 2.91-2.93, 12 Mn 3.18-3.23
Mn 0.0000 0.0000 0.5000  4 Mn 2.43, 6 Al 2.50-2.59
Mn 0.0000 0.5000 0.0000  4 Mn 2.43, 6 Al 2.50-2.59
Mn 0.2398 0.7398 0.5000  4 Mn 2.43, 6 Al 2.57-2.61
Mn 0.5000 0.0000 0.0000  4 Mn 2.43, 6 Al 2.50-2.59
Mn 0.5000 0.5000 0.5000  4 Mn 2.43, 6 Al 2.50-2.59
Mn 0.7602 0.2602 0.5000  4 Mn 2.43, 6 Al 2.57-2.61
Al 0.1936 0.5000 0.6936  6 Mn 2.50-2.61, 2 Al 2.75
Al 0.3407 0.3407 0.0000  6 Mn 2.55-2.58, 1 Al 2.72
Al 0.3467 0.0000 0.3467  6 Mn 2.57-2.59, 3 Al 2.58-2.75
Al 0.6533 0.0000 0.6533  6 Mn 2.57-2.59, 3 Al 2.58-2.75
Al 0.6593 0.6593 0.0000  6 Mn 2.55-2.58, 1 Al 2.72
Al 0.8064 0.5000 0.3064  6 Mn 2.50-2.61, 2 Al 2.75

Computed properties:
D(E_F): 0.70 states/eV per atom
V: 13.43 Å³ per atom
DFT formation energy: -0.349 eV per atom
crystal system: orthorhombic

Record 3
Entry from Alexandria via LeMat-Bulk: a PBEsol-optimized structure of Dy2Fe17H3 (meta-GGA SCAN).

Unit cell a=8.2940 b=8.2940 c=7.9734 alpha=90.00 beta=90.00 gamma=120.00
Last column: nearest neighbours and their distance in Å.
Positions (direct):
Dy 0.0000 0.0000 0.2500  3 H 2.37
Dy 0.0000 0.0000 0.7500  3 H 2.37
Dy 0.3333 0.6667 0.2500  3 H 2.42
Dy 0.6667 0.3333 0.7500  3 H 2.42
Fe 0.0000 0.5000 0.0000  10 Fe 2.36-2.54
Fe 0.0000 0.5000 0.5000  10 Fe 2.36-2.54
Fe 0.0505 0.3786 0.7500  1 H 1.78
Fe 0.0505 0.6719 0.7500  1 H 1.78
Fe 0.1666 0.3332 0.0149  1 H 1.87
Fe 0.1666 0.3332 0.4851  1 H 1.87
Fe 0.1666 0.8334 0.0149  1 H 1.87
Fe 0.1666 0.8334 0.4851  1 H 1.87
Fe 0.3281 0.3786 0.7500  1 H 1.78
Fe 0.3281 0.9495 0.7500  1 H 1.78
Fe 0.3332 0.1666 0.5149  1 H 1.87
Fe 0.3332 0.1666 0.9851  1 H 1.87
Fe 0.3333 0.6667 0.6066  4 Fe 2.29-2.54
Fe 0.3333 0.6667 0.8934  4 Fe 2.29-2.54
Fe 0.3786 0.0505 0.2500  1 H 1.78
Fe 0.3786 0.3281 0.2500  1 H 1.78
Fe 0.5000 0.0000 0.0000  10 Fe 2.36-2.54
Fe 0.5000 0.0000 0.5000  10 Fe 2.36-2.54
Fe 0.5000 0.5000 0.0000  10 Fe 2.36-2.54
Fe 0.5000 0.5000 0.5000  10 Fe 2.36-2.54
Fe 0.6214 0.6719 0.7500  1 H 1.78
Fe 0.6214 0.9495 0.7500  1 H 1.78
Fe 0.6667 0.3333 0.1066  4 Fe 2.29-2.54
Fe 0.6667 0.3333 0.3934  4 Fe 2.29-2.54
Fe 0.6668 0.8334 0.0149  1 H 1.87
Fe 0.6668 0.8334 0.4851  1 H 1.87
Fe 0.6719 0.0505 0.2500  1 H 1.78
Fe 0.6719 0.6214 0.2500  1 H 1.78
Fe 0.8334 0.1666 0.5149  1 H 1.87
Fe 0.8334 0.1666 0.9851  1 H 1.87
Fe 0.8334 0.6668 0.5149  1 H 1.87
Fe 0.8334 0.6668 0.9851  1 H 1.87
Fe 0.9495 0.3281 0.2500  1 H 1.78
Fe 0.9495 0.6214 0.2500  1 H 1.78
H 0.1650 0.3300 0.2500  4 Fe 1.78-1.87
H 0.1650 0.8350 0.2500  4 Fe 1.78-1.87
H 0.3300 0.1650 0.7500  4 Fe 1.78-1.87
H 0.6700 0.8350 0.2500  4 Fe 1.78-1.87
H 0.8350 0.1650 0.7500  4 Fe 1.78-1.87
H 0.8350 0.6700 0.7500  4 Fe 1.78-1.87

Computed properties:
D(E_F): 0.59 states/eV per atom
V: 10.80 Å³ per atom
total energy: -829.76 eV for the cell shown
crystal system: hexagonal

Record 4
Entry from Alexandria via LeMat-Bulk: a PBEsol-optimized structure of NiPSeO2 (meta-GGA SCAN).

Unit cell a=3.6017 b=3.6017 c=5.0432 alpha=90.00 beta=90.00 gamma=90.00
Last column: nearest neighbours and their distance in Å.
Positions (direct):
Ni 0.0000 0.0000 0.0000  4 P 2.55
P 0.5000 0.5000 0.0000  2 Se 2.52, 4 Ni 2.55
Se 0.5000 0.5000 0.5000  4 O 1.80
O 0.0000 0.5000 0.5000  2 Se 1.80
O 0.5000 0.0000 0.5000  2 Se 1.80

Computed properties:
D(E_F): 0.36 states/eV per atom
V: 13.08 Å³ per atom
formation energy (no corrections): 1.07 eV/f.u.
crystal system: tetragonal
excess energy over the best structure of this formula in the dataset: 195 meV per atom

Record 5
Entry from Alexandria via LeMat-Bulk: a PBEsol-optimized structure of RbBa3 (meta-GGA SCAN).

Unit cell a=7.1170 b=7.1170 c=7.1170 alpha=60.00 beta=60.00 gamma=60.00
Last column: nearest neighbours and their distance in Å.
Positions (direct):
Rb 0.0000 0.0000 0.0000  8 Ba 4.36
Ba 0.2500 0.2500 0.2500  4 Ba 4.36, 4 Rb 4.36
Ba 0.5000 0.5000 0.5000  8 Ba 4.36
Ba 0.7500 0.7500 0.7500  4 Rb 4.36, 4 Ba 4.36

Computed properties:
D(E_F): 1.85 states/eV per atom
V: 63.73 Å³ per atom
DFT formation energy: 0.142 eV per atom
crystal system: cubic
excess energy over the best structure of this formula in the dataset: 9 meV per atom

Record 6
Entry from Alexandria via LeMat-Bulk: a PBEsol-optimized structure of LaZnCdW2 (meta-GGA SCAN).

Unit cell a=4.7631 b=4.7631 c=4.7285 alpha=90.00 beta=90.00 gamma=90.00
Last column: nearest neighbours and their distance in Å.
Positions (direct):
La 0.0000 0.0000 0.0000  8 W 3.36, 4 Cd 3.37
Zn 0.5000 0.5000 0.5000  2 Cd 2.36, 4 W 2.38
Cd 0.5000 0.5000 0.0000  2 Zn 2.36
W 0.0000 0.5000 0.5000  2 Zn 2.38
W 0.5000 0.0000 0.5000  2 Zn 2.38

Computed properties:
D(E_F): 1.39 states/eV per atom
V: 21.46 Å³ per atom
DFT formation energy: 1.267 eV per atom
crystal system: tetragonal

Record 7
Entry from Alexandria via LeMat-Bulk: a PBEsol-optimized structure of TlCuHg2 (meta-GGA SCAN).

Unit cell a=4.3016 b=4.3016 c=4.5054 alpha=90.00 beta=90.00 gamma=90.00
Last column: nearest neighbours and their distance in Å.
Positions (direct):
Tl 0.0000 0.0000 0.0000  4 Cu 3.04, 8 Hg 3.11
Cu 0.5000 0.5000 0.0000  4 Tl 3.04, 8 Hg 3.11
Hg 0.0000 0.5000 0.5000  4 Hg 3.04, 4 Tl 3.11, 4 Cu 3.11
Hg 0.5000 0.0000 0.5000  4 Hg 3.04, 4 Tl 3.11, 4 Cu 3.11

Computed properties:
D(E_F): 0.34 states/eV per atom
V: 20.84 Å³ per atom
DFT formation energy: 0.300 eV per atom
crystal system: tetragonal

Record 8
Entry from Alexandria via LeMat-Bulk: a PBEsol-optimized structure of SrLa2Sc (meta-GGA SCAN).

Unit cell a=3.6626 b=3.6626 c=10.2307 alpha=90.00 beta=90.00 gamma=90.00
Last column: nearest neighbours and their distance in Å.
Positions (direct):
Sr 0.0000 0.0000 0.0000  4 Sr 3.66, 4 Sc 3.69, 4 La 4.03
La 0.0000 0.0000 0.5366  4 Sc 3.34, 8 La 3.53-3.66
La 0.5000 0.5000 0.3015  8 La 3.53-3.66
Sc 0.5000 0.5000 0.7430  4 La 3.34, 4 Sc 3.66, 4 Sr 3.69

Computed properties:
D(E_F): 1.43 states/eV per atom
V: 34.31 Å³ per atom
DFT formation energy: 0.171 eV per atom
crystal system: tetragonal
excess energy over the best structure of this formula in the dataset: 0 meV per atom

Record 9
Entry from Alexandria via LeMat-Bulk: a PBEsol-optimized structure of LiPb5 (meta-GGA SCAN).

Unit cell a=6.6017 b=6.6017 c=7.7617 alpha=105.08 beta=105.08 gamma=31.28
Last column: nearest neighbours and their distance in Å.
Positions (direct):
Li 0.0000 0.0000 0.0000  10 Pb 3.25-3.58, 2 Li 3.56
Pb 0.2894 0.2894 0.0646  9 Pb 3.26-3.56, 3 Li 3.36-3.58
Pb 0.3327 0.3327 0.6691  10 Pb 3.26-3.56, 2 Li 3.37
Pb 0.6117 0.6117 0.7472  2 Li 3.25, 10 Pb 3.37-3.56
Pb 0.6681 0.6681 0.3287  2 Li 3.36, 10 Pb 3.38-3.56
Pb 0.9538 0.9538 0.3973  1 Li 3.29, 11 Pb 3.36-3.56

Computed properties:
D(E_F): 0.44 states/eV per atom
V: 28.19 Å³ per atom
DFT formation energy: -0.070 eV per atom
crystal system: monoclinic
excess energy over the best structure of this formula in the dataset: 9 meV per atom

Record 10
Entry from Alexandria via LeMat-Bulk: a PBEsol-optimized structure of ZrP3Se (meta-GGA SCAN).

Unit cell a=4.9418 b=4.9418 c=4.9418 alpha=90.00 beta=90.00 gamma=90.00
Last column: nearest neighbours and their distance in Å.
Positions (direct):
Zr 0.0000 0.0000 0.0000  6 P 2.47
P 0.0000 0.0000 0.5000  2 Zr 2.47
P 0.0000 0.5000 0.0000  2 Zr 2.47
P 0.5000 0.0000 0.0000  2 Zr 2.47
Se 0.5000 0.5000 0.5000  12 P 3.49

Computed properties:
D(E_F): 1.15 states/eV per atom
V: 24.14 Å³ per atom
formation energy (no corrections): 3.49 eV/f.u.
crystal system: cubic

Record 11
Entry from Alexandria via LeMat-Bulk: a PBEsol-optimized structure of BeAl2As (meta-GGA SCAN).

Unit cell a=8.8755 b=8.8755 c=8.8755 alpha=18.37 beta=18.37 gamma=18.37
Last column: nearest neighbours and their distance in Å.
Positions (direct):
Be 0.0000 0.0000 0.0000  6 Al 2.52
Al 0.2601 0.2601 0.2601  3 Be 2.52
Al 0.7399 0.7399 0.7399  3 Be 2.52
As 0.5000 0.5000 0.5000  6 As 2.83, 6 Al 2.94

Computed properties:
D(E_F): 0.26 states/eV per atom
V: 15.16 Å³ per atom
DFT formation energy: 0.259 eV per atom
crystal system: trigonal
excess energy over the best structure of this formula in the dataset: 56 meV per atom

Record 12
Entry from Alexandria via LeMat-Bulk: a PBEsol-optimized structure of MgTe2Pt (meta-GGA SCAN).

Unit cell a=6.7437 b=6.7437 c=6.7437 alpha=149.20 beta=144.04 gamma=48.06
Last column: nearest neighbours and their distance in Å.
Positions (direct):
Mg 0.0000 0.0000 0.0000  6 Te 2.92-3.07, 2 Pt 3.10
Te 0.3881 0.3881 0.0000  2 Pt 2.87, 4 Mg 3.07
Te 0.6664 0.1664 0.5000  4 Pt 2.79, 2 Mg 2.92
Pt 0.2056 0.7056 0.5000  6 Te 2.79-2.87, 2 Mg 3.10

Computed properties:
D(E_F): 0.47 states/eV per atom
V: 22.96 Å³ per atom
formation energy (no corrections): -1.11 eV/f.u.
crystal system: orthorhombic

Q: Which of these has the lowest D(E_F)?
A: BeAl2As